Entry from OQMD: GdCd2Hg after structural relaxation (PBE).

* theoretical density: 10.1 Mg/m³
* excess energy over the best structure of this formula in the dataset: 6 meV per atom
* calculated formation energy: -0.34 eV/atom
* M_tot: 0.0 μB/f.u.
* energy: -16.2 eV/cell

a = 4.971 Å, b = 6.619 Å, c = 6.619 Å
α = 61.23°, β = 90.00°, γ = 90.00°
Element x y z (fractional)
Cd: 0.500 0.676 0.154
Cd: 0.500 0.161 0.161
Cd: 0.500 0.154 0.676
Cd: 0.000 0.843 0.843
Gd: 0.000 0.335 0.335
Gd: 0.500 0.662 0.662
Hg: 0.000 0.836 0.335
Hg: 0.000 0.335 0.836